An optimized crystal structure of KCaSe. Source: Alexandria, functional PBE.

Results
**Energy relative to the lowest polymorph listed for this composition**: 219 meV per atom
**Total magnetization**: 0.84 μB per formula unit
**ΔE_f (raw)**: -0.907 eV/atom
**Total DFT energy (no corrections)**: -3.101 eV per atom

a b c (Å): 5.2063 5.2063 5.2063
angles (deg): 60.00 60.00 60.00
Each line ends with the local moment (μB).
Atoms (fractional coordinates):
Ca: 0.0000 0.0000 0.0000  0.12
K: 0.5000 0.5000 0.5000  0.03
Se: 0.7500 0.7500 0.7500  0.03

An optimized crystal structure of KCr2I. Source: Alexandria, functional PBE.

Results
**Energy relative to the lowest polymorph listed for this composition**: 271 meV per atom
**Total magnetization**: 11.00 μB per formula unit
**ΔE_f (raw)**: 1.048 eV/atom
**Total DFT energy (no corrections)**: -4.426 eV per atom

a b c (Å): 5.6291 5.6291 5.6291
angles (deg): 60.00 60.00 60.00
Each line ends with the local moment (μB).
Atoms (fractional coordinates):
I: 0.5000 0.5000 0.5000  0.07
Cr: 0.2500 0.2500 0.2500  4.34
Cr: 0.7500 0.7500 0.7500  4.34
K: 0.0000 0.0000 0.0000  0.07

An optimized crystal structure of CePuAgSb. Source: Alexandria, functional PBE.

Results
**Total magnetization**: 8.02 μB per formula unit
**ΔE_f (raw)**: -0.400 eV/atom
**Total DFT energy (no corrections)**: -7.210 eV per atom

a b c (Å): 5.3278 5.3278 5.3278
angles (deg): 60.00 60.00 60.00
Each line ends with the local moment (μB).
Atoms (fractional coordinates):
Sb: 0.7500 0.7500 0.7500  -0.06
Ag: 0.2500 0.2500 0.2500  0.05
Ce: 0.0000 0.0000 0.0000  1.21
Pu: 0.5000 0.5000 0.5000  5.67